# 1
Density functional theory data (GGA-PBE) for a relaxed CsCd2GeRu crystal.

Values from the calculation:
formation enthalpy at 0 K	-0.02	eV per atom
DOS at the Fermi energy	2.16	states/eV/cell
symmetry	P4/mmm (123)

Lattice parameters (Å, degrees): 5.4302 5.4302 4.7698 90.00 90.00 90.00
Fractional coordinates of all 5 atoms:
Cs: 0.5000 0.5000 0.5000
Ru: 0.0000 0.0000 0.0000
Ge: 0.0000 0.0000 0.5000
Cd: 0.0000 0.5000 0.0000
Cd: 0.5000 0.0000 0.0000

=====

# 2
Density functional theory data (GGA-PBE) for a relaxed Cs2CdGe3S8 crystal.

Values from the calculation:
DOS at the Fermi energy	0.00	states/eV/cell
uncorrected formation energy	-710	meV/atom
symmetry	P2_12_12_1 (19)

Lattice parameters (Å, degrees): 7.5630 13.5683 17.3205 90.00 90.00 90.00
Fractional coordinates of all 56 atoms:
Cs: 0.7465 0.3640 0.5577
Cs: 0.7535 0.6360 0.0577
Cs: 0.2465 0.1360 0.4423
Cs: 0.2535 0.8640 0.9423
Cs: 0.2245 0.2116 0.8504
Cs: 0.2755 0.7884 0.3504
Cs: 0.7245 0.2884 0.1496
Cs: 0.7755 0.7116 0.6496
Cd: 0.5274 0.5071 0.8500
Cd: 0.9726 0.4929 0.3500
Cd: 0.0274 0.9929 0.1500
Cd: 0.4726 0.0071 0.6500
Ge: 0.4701 0.4656 0.3469
Ge: 0.0299 0.5344 0.8469
Ge: 0.9701 0.0344 0.6531
Ge: 0.5299 0.9656 0.1531
Ge: 0.2607 0.4565 0.0202
Ge: 0.2393 0.5435 0.5202
Ge: 0.7607 0.0435 0.9798
Ge: 0.7393 0.9565 0.4798
Ge: 0.2725 0.4520 0.6805
Ge: 0.2275 0.5480 0.1805
Ge: 0.7725 0.0480 0.3195
Ge: 0.7275 0.9520 0.8195
S: 0.5023 0.3869 0.7361
S: 0.9977 0.6131 0.2361
S: 0.0023 0.1131 0.2639
S: 0.4977 0.8869 0.7639
S: 0.9870 0.9292 0.7576
S: 0.5130 0.0708 0.2576
S: 0.4870 0.5708 0.2424
S: 0.0130 0.4292 0.7424
S: 0.7347 0.1272 0.6539
S: 0.7653 0.8728 0.1539
S: 0.2347 0.3728 0.3461
S: 0.2653 0.6272 0.8461
S: 0.2105 0.1255 0.6515
S: 0.2895 0.8745 0.1515
S: 0.7105 0.3745 0.3485
S: 0.7895 0.6255 0.8485
S: 0.0082 0.0999 0.0267
S: 0.4918 0.9001 0.5267
S: 0.5082 0.4001 0.9733
S: 0.9918 0.5999 0.4733
S: 0.9856 0.9267 0.5498
S: 0.5144 0.0733 0.0498
S: 0.4856 0.5733 0.4502
S: 0.0144 0.4267 0.9502
S: 0.2336 0.3835 0.5610
S: 0.2664 0.6165 0.0610
S: 0.7336 0.1165 0.4390
S: 0.7664 0.8835 0.9390
S: 0.2048 0.3893 0.1379
S: 0.2952 0.6107 0.6379
S: 0.7048 0.1107 0.8621
S: 0.7952 0.8893 0.3621

=====

# 3
Density functional theory data (GGA-PBE) for a relaxed Cs2CdGe2Se6 crystal.

Values from the calculation:
DOS at the Fermi energy	2.03	states/eV/cell
uncorrected formation energy	-526	meV/atom
symmetry	R-3m (166)

Lattice parameters (Å, degrees): 7.5368 7.5368 9.3053 66.11 66.11 60.00
Fractional coordinates of all 11 atoms:
Cs: 0.7784 0.7784 0.6648
Cs: 0.2216 0.2216 0.3352
Cd: 0.0000 0.0000 0.0000
Ge: 0.4074 0.4074 0.7779
Ge: 0.5926 0.5926 0.2221
Se: 0.7602 0.7602 0.2456
Se: 0.2341 0.7602 0.2456
Se: 0.7602 0.2341 0.2456
Se: 0.2398 0.7659 0.7544
Se: 0.7659 0.2398 0.7544
Se: 0.2398 0.2398 0.7544

=====

# 4
Density functional theory data (GGA-PBE) for a relaxed Cs2VCdGe crystal.

Values from the calculation:
formation enthalpy at 0 K	0.92	eV per atom
DOS at the Fermi energy	8.28	states/eV/cell
symmetry	P4/mmm (123)

Lattice parameters (Å, degrees): 7.1878 4.9835 7.1878 90.00 90.00 90.00
Fractional coordinates of all 5 atoms:
Cs: 0.0000 0.0000 0.5000
Cs: 0.5000 0.0000 0.0000
Ge: 0.0000 0.0000 0.0000
V: 0.5000 0.5000 0.5000
Cd: 0.0000 0.5000 0.0000

=====

# 5
Density functional theory data (GGA-PBE) for a relaxed CsCdH2 crystal.

Values from the calculation:
DOS at the Fermi energy	1.18	states/eV/cell
symmetry	Fm-3m (225)
E	-6.624	eV per cell

Lattice parameters (Å, degrees): 5.0425 5.0425 5.0425 60.00 60.00 60.00
Fractional coordinates of all 4 atoms:
Cs: 0.5000 0.5000 0.5000
H: 0.2500 0.2500 0.2500
H: 0.7500 0.7500 0.7500
Cd: 0.0000 0.0000 0.0000

=====

# 6
Density functional theory data (GGA-PBE) for a relaxed Cs3CdH4 crystal.

Values from the calculation:
DOS at the Fermi energy	3.79	states/eV/cell
symmetry	I-43m (217)
E	-16.743	eV per cell

Lattice parameters (Å, degrees): 6.7002 6.7002 6.7002 109.47 109.47 109.47
Fractional coordinates of all 8 atoms:
Cs: 0.5000 0.5000 0.0000
Cs: 0.0000 0.5000 0.5000
Cs: 0.5000 0.0000 0.5000
Cd: 0.0000 0.0000 0.0000
H: 0.7144 0.0000 0.0000
H: 0.0000 0.0000 0.7144
H: 0.2856 0.2856 0.2856
H: 0.0000 0.7144 0.0000

=====

# 7
Density functional theory data (GGA-PBE) for a relaxed CsCdH2 crystal.

Values from the calculation:
DOS at the Fermi energy	1.55	states/eV/cell
symmetry	P4/mmm (123)
E	-8.215	eV per cell

Lattice parameters (Å, degrees): 4.3452 4.3452 4.4229 90.00 90.00 90.00
Fractional coordinates of all 4 atoms:
Cs: 0.0000 0.0000 0.5000
Cd: 0.5000 0.5000 0.0000
H: 0.0000 0.5000 0.0000
H: 0.5000 0.0000 0.0000

=====

# 8
Density functional theory data (GGA-PBE) for a relaxed Cs2Cd2H crystal.

Values from the calculation:
DOS at the Fermi energy	3.50	states/eV/cell
symmetry	I4/mmm (139)
E	-5.892	eV per cell

Lattice parameters (Å, degrees): 7.5990 7.5990 7.4290 59.24 59.24 90.00
Fractional coordinates of all 5 atoms:
Cs: 0.7500 0.2500 0.5000
Cs: 0.2500 0.7500 0.5000
H: 0.0000 0.0000 0.0000
Cd: 0.1992 0.1992 0.6015
Cd: 0.8008 0.8008 0.3985

=====

# 9
Density functional theory data (GGA-PBE) for a relaxed Cs4CdH6 crystal.

Values from the calculation:
DOS at the Fermi energy	0.00	states/eV/cell
symmetry	Cc (9)
E	-52.176	eV per cell

Lattice parameters (Å, degrees): 7.0120 8.6292 12.4408 62.34 73.63 66.03
Fractional coordinates of all 22 atoms:
Cs: 0.2710 0.0756 0.5757
Cs: 0.0776 0.5756 0.0757
Cs: 0.7368 0.3145 0.3954
Cs: 0.5533 0.8145 0.8954
Cs: 0.0594 0.6755 0.6487
Cs: 0.6164 0.1755 0.1487
Cs: 0.6575 0.3408 0.7595
Cs: 0.2422 0.8408 0.2595
Cd: 0.7367 0.7123 0.4242
Cd: 0.1268 0.2123 0.9242
H: 0.5047 0.5446 0.1588
H: 0.7920 0.0446 0.6587
H: 0.4869 0.6618 0.4987
H: 0.3525 0.1618 0.9987
H: 0.7483 0.9225 0.4244
H: 0.9048 0.4225 0.9244
H: 0.0382 0.0061 0.0042
H: 0.9515 0.5061 0.5042
H: 0.1788 0.1898 0.3012
H: 0.3302 0.6898 0.8012
H: 0.2301 0.2425 0.7634
H: 0.7640 0.7425 0.2634

=====

# 10
Density functional theory data (GGA-PBE) for a relaxed Cs3Cd2H7 crystal.

Values from the calculation:
symmetry	Cmmm (65)
E	-28.373	eV per cell

Lattice parameters (Å, degrees): 4.3068 4.4028 12.1283 100.46 90.00 90.00
Fractional coordinates of all 12 atoms:
Cs: 0.5000 0.5000 0.0000
Cs: 0.5000 0.6779 0.3559
Cs: 0.5000 0.3221 0.6441
Cd: 0.0000 0.9100 0.8199
Cd: 0.0000 0.0900 0.1801
H: 0.0000 0.4098 0.8195
H: 0.0000 0.8273 0.6545
H: 0.0000 0.0000 0.0000
H: 0.0000 0.5902 0.1805
H: 0.5000 0.0899 0.1797
H: 0.5000 0.9101 0.8203
H: 0.0000 0.1727 0.3455

=====

# 11
Density functional theory data (GGA-PBE) for a relaxed CsCdH4 crystal.

Values from the calculation:
DOS at the Fermi energy	2.19	states/eV/cell
symmetry	C2/m (12)
E	-27.234	eV per cell

Lattice parameters (Å, degrees): 4.1751 8.0360 8.0530 107.02 90.00 105.06
Fractional coordinates of all 12 atoms:
Cs: 0.1737 0.3474 0.2262
Cs: 0.8263 0.6526 0.7738
Cd: 0.0922 0.1843 0.6477
Cd: 0.9078 0.8157 0.3523
H: 0.0456 0.0912 0.4104
H: 0.0823 0.1646 0.8588
H: 0.7890 0.5779 0.3596
H: 0.5974 0.1947 0.6421
H: 0.4026 0.8053 0.3579
H: 0.2110 0.4221 0.6404
H: 0.9177 0.8354 0.1412
H: 0.9544 0.9088 0.5896

=====

# 12
Density functional theory data (GGA-PBE) for a relaxed CsCdH3 crystal.

Values from the calculation:
DOS at the Fermi energy	0.00	states/eV/cell
symmetry	P2_1/m (11)
E	-23.938	eV per cell

Lattice parameters (Å, degrees): 5.7556 6.3412 5.6672 90.00 90.13 90.00
Fractional coordinates of all 10 atoms:
Cs: 0.9174 0.7500 0.7483
Cs: 0.0826 0.2500 0.2517
Cd: 0.4719 0.7500 0.2474
Cd: 0.5281 0.2500 0.7526
H: 0.6296 0.9945 0.2487
H: 0.3704 0.4945 0.7513
H: 0.8407 0.2500 0.7517
H: 0.1593 0.7500 0.2483
H: 0.3704 0.0055 0.7513
H: 0.6296 0.5055 0.2487